# LaCe4Os4, optimized geometry, DFT PBE
# * E_tot: -8.269 eV per atom
# * energy relative to the elements: -0.09 eV/atom
data_LaCe4Os4
_chemical_formula_sum 'La2 Ce8 Os8'
_cell_length_a 8.978
_cell_length_b 8.978
_cell_length_c 5.610
_cell_angle_alpha 90.00
_cell_angle_beta 90.00
_cell_angle_gamma 90.00
_space_group_name_H-M_alt 'P 42/n'
_space_group_IT_number 86
loop_
_space_group_symop_operation_xyz
'x,y,z'
'-x,-y,-z'
'-y,x+1/2,z+1/2'
'y,-x+1/2,-z+1/2'
'-x+1/2,-y+1/2,z'
'x+1/2,y+1/2,-z'
'y+1/2,-x,z+1/2'
'-y+1/2,x,-z+1/2'
loop_
_atom_site_label
_atom_site_type_symbol
_atom_site_fract_x
_atom_site_fract_y
_atom_site_fract_z
La1 La 0.250 0.250 0.250
Ce1 Ce 0.070 0.656 0.181
Os1 Os 0.048 0.613 0.668